KUS2O8: relaxed, PBE-GGA.

- total magnetic moment (μB/f.u.) = 3.0
- energy relative to the elements, uncorrected (eV/atom) = -1.8311

abc: 5.5695 5.5695 8.0828
angles: 90.00 90.00 120.00
Fractional positions:
O1 0.6243 0.8121 0.8112
O2 0.8121 0.1879 0.1888
O3 0.1879 0.8121 0.8112
O4 0.3757 0.1879 0.1888
O5 0.1879 0.3757 0.8112
S1 0.6667 0.3333 0.2555
K1 0.0000 0.0000 0.5000
O6 0.6667 0.3333 0.4351
O7 0.8121 0.6243 0.1888
O8 0.3333 0.6667 0.5649
U1 0.0000 0.0000 0.0000
S2 0.3333 0.6667 0.7445



CrSb2Te: relaxed, PBE-GGA.

- total magnetic moment (μB/f.u.) = 4.1
- energy above the lowest structure with this stoichiometry (eV/atom) = 0.312
- energy relative to the elements, uncorrected (eV/atom) = 0.4072

abc: 5.8615 4.2275 4.2275
angles: 90.00 90.00 90.00
Fractional positions:
Te1 0.5000 0.5000 0.0000
Sb1 0.0000 0.0000 0.0000
Sb2 0.0000 0.5000 0.5000
Cr1 0.5000 0.0000 0.5000



Ho3In3CoHg2: relaxed, PBE-GGA.

- total magnetic moment (μB/f.u.) = 0.0
- energy of formation from the pure elements (meV/atom) = -417

abc: 4.0620 7.6717 7.6717
angles: 120.00 90.00 90.00
Fractional positions:
In1 0.5000 0.0000 0.7613
Co1 0.0000 0.0000 0.0000
In2 0.5000 0.7613 0.0000
Hg1 0.5000 0.3333 0.6667
Ho1 0.0000 0.6117 0.6117
In3 0.5000 0.2387 0.2387
Hg2 0.5000 0.6667 0.3333
Ho2 0.0000 0.3883 0.0000
Ho3 0.0000 0.0000 0.3883



ReSnSb3: relaxed, PBE-GGA.

- total magnetic moment (μB/f.u.) = 0.0
- energy above the lowest structure with this stoichiometry (eV/atom) = 0.000
- energy relative to the elements, uncorrected (eV/atom) = 0.6340

abc: 5.2165 5.2165 5.2165
angles: 90.00 90.00 90.00
Fractional positions:
Sn1 0.5000 0.5000 0.5000
Re1 0.0000 0.0000 0.0000
Sb1 0.5000 0.0000 0.0000
Sb2 0.0000 0.5000 0.0000
Sb3 0.0000 0.0000 0.5000



Na2PaRhO5: relaxed, PBE-GGA.

- total magnetic moment (μB/f.u.) = 0.1
- energy relative to the elements, uncorrected (eV/atom) = -1.5514

abc: 6.0116 6.0116 7.4087
angles: 113.94 113.94 90.00
Fractional positions:
O1 0.5000 0.5000 0.0000
O2 0.1516 0.0359 0.6875
Na1 0.8372 0.6628 0.0000
Na2 0.3372 0.8372 0.0000
O3 0.4641 0.3484 0.3125
Na3 0.1628 0.3372 0.0000
O4 0.8484 0.9641 0.3125
O5 0.0359 0.5359 0.6875
O6 0.6516 0.1516 0.6875
O7 0.9641 0.4641 0.3125
Pa1 0.2500 0.2500 0.5000
O8 0.3484 0.8484 0.3125
O9 0.0000 0.0000 0.0000
Rh1 0.2500 0.7500 0.5000
Pa2 0.7500 0.7500 0.5000
Rh2 0.7500 0.2500 0.5000
Na4 0.6628 0.1628 0.0000
O10 0.5359 0.6516 0.6875



DyYHo: relaxed, PBE-GGA.

- total magnetic moment (μB/f.u.) = 0.0
- energy above the lowest structure with this stoichiometry (eV/atom) = 0.048
- energy of formation from the pure elements (meV/atom) = 71

abc: 5.5941 5.5941 6.9703
angles: 90.00 90.00 120.00
Fractional positions:
Y1 0.6667 0.3333 0.3666
Ho1 0.0000 0.0000 0.6166
Dy1 0.3333 0.6667 0.3667
Ho2 0.0000 0.0000 0.1166
Y2 0.3333 0.6667 0.8666
Dy2 0.6667 0.3333 0.8667